(1)
VASP calculation (PBE-GGA) on crystalline NaCe2Tl3Se6 at its relaxed geometry.

Unit cell a=7.4284 b=7.4284 c=8.0217 alpha=98.75 beta=98.75 gamma=119.87
Closest atoms and distances in Å follow each position.
Fractional positions:
Na  0.0000  0.0000  0.0000  6 Se 3.06-3.13
Ce  0.3325  0.6675  0.0000  6 Se 2.86-2.88
Ce  0.6675  0.3325  0.0000  6 Se 2.86-2.88
Tl  0.1593  0.8407  0.5000  6 Se 3.24-3.38
Tl  0.5000  0.5000  0.5000  6 Se 3.24-3.39
Tl  0.8407  0.1593  0.5000  6 Se 3.24-3.38
Se  0.0706  0.4295  0.2126  2 Ce 2.88, 1 Na 3.13
Se  0.2884  0.2884  0.7981  2 Ce 2.86, 1 Na 3.06
Se  0.4295  0.0706  0.2126  2 Ce 2.88, 1 Na 3.13
Se  0.5705  0.9294  0.7874  2 Ce 2.88, 1 Na 3.13
Se  0.7116  0.7116  0.2019  2 Ce 2.86, 1 Na 3.06
Se  0.9294  0.5705  0.7874  2 Ce 2.88, 1 Na 3.13

## Properties
Space-group type = C2/m, No. 12

=====

(2)
VASP calculation (PBE-GGA) on crystalline Na3CeTm2Se6 at its relaxed geometry.

Unit cell a=7.2198 b=7.2198 c=7.3900 alpha=99.39 beta=99.39 gamma=120.01
Closest atoms and distances in Å follow each position.
Fractional positions:
Na  0.0000  0.0000  0.0000  6 Se 2.99-3.09
Na  0.3347  0.6653  0.0000  6 Se 3.01-3.10
Na  0.6653  0.3347  0.0000  6 Se 3.01-3.10
Ce  0.5000  0.5000  0.5000  6 Se 2.96
Tm  0.1669  0.8331  0.5000  6 Se 2.86
Tm  0.8331  0.1669  0.5000  6 Se 2.86
Se  0.0786  0.4234  0.2706  2 Tm 2.86, 1 Ce 2.96, 3 Na 3.01-3.10
Se  0.2318  0.2318  0.7301  2 Tm 2.86, 1 Ce 2.96, 3 Na 2.99-3.08
Se  0.4234  0.0786  0.2706  2 Tm 2.86, 1 Ce 2.96, 3 Na 3.01-3.10
Se  0.5766  0.9214  0.7294  2 Tm 2.86, 1 Ce 2.96, 3 Na 3.01-3.10
Se  0.7682  0.7682  0.2699  2 Tm 2.86, 1 Ce 2.96, 3 Na 2.99-3.08
Se  0.9214  0.5766  0.7294  2 Tm 2.86, 1 Ce 2.96, 3 Na 3.01-3.10

## Properties
Space-group type = C2/m, No. 12

=====

(3)
VASP calculation (PBE-GGA) on crystalline Na2Ce3TmSe6 at its relaxed geometry.

Unit cell a=7.2609 b=7.2609 c=7.2681 alpha=99.53 beta=99.53 gamma=119.91
Closest atoms and distances in Å follow each position.
Fractional positions:
Na  0.1650  0.8350  0.0000  6 Se 2.96-2.98
Na  0.8350  0.1650  0.0000  6 Se 2.96-2.98
Ce  0.0000  0.0000  0.5000  6 Se 2.97-3.04
Ce  0.3278  0.6722  0.5000  6 Se 2.97-3.02
Ce  0.6722  0.3278  0.5000  6 Se 2.97-3.02
Tm  0.5000  0.5000  0.0000  6 Se 2.87-2.89
Se  0.0973  0.4196  0.7593  1 Tm 2.87, 2 Na 2.96-2.98, 3 Ce 2.97-3.02
Se  0.2616  0.2616  0.2481  1 Tm 2.89, 2 Na 2.98, 3 Ce 2.99-3.04
Se  0.4196  0.0973  0.7593  1 Tm 2.87, 2 Na 2.96-2.98, 3 Ce 2.97-3.02
Se  0.5804  0.9027  0.2407  1 Tm 2.87, 2 Na 2.96-2.98, 3 Ce 2.97-3.02
Se  0.7384  0.7384  0.7519  1 Tm 2.89, 2 Na 2.98, 3 Ce 2.99-3.04
Se  0.9027  0.5804  0.2407  1 Tm 2.87, 2 Na 2.96-2.98, 3 Ce 2.97-3.02

## Properties
Space-group type = C2/m, No. 12

=====

no.,VASP energy (eV per atom),total moment (μB/f.u.),ΔE_f (raw) (kJ/mol of formula units)
1,-4.591,0.000,-1341
2,-4.978,1.015,-1929
3,-5.481,3.957,-1926